Entry from the Alexandria database: a geometry-optimized Cd2SiOs structure (PBE).

Summary:
raw formation energy = 0.320 eV/atom
space group = Cmm2

POSCAR file:
```
Cd2SiOs
1.0
1.489 -2.428 0.000
1.489 2.428 0.000
0.000 0.000 10.748
Cd Si Os
2 1 1
Cartesian
0.000 0.000 0.000
1.489 0.000 3.280
0.000 0.000 6.378
1.489 0.000 8.219
```